No. 1
Density functional theory data (PBE) for a relaxed structure of AgSn3Bi3Se8.

## Properties
* DOS(E_F): 3.8 states/eV per cell
* density: 6757 kg/m³
* ΔE_f (raw): -4.609 eV per formula unit

a b c (Å): 8.4359 8.4367 8.4197
angles (deg): 120.06 90.00 120.00
Fractional positions:
Bi  0.5000  0.0000  0.5000
Bi  0.0000  0.5000  0.5000
Bi  0.5000  0.5000  0.5000
Sn  0.0000  0.0000  0.0000
Sn  0.0000  0.5000  0.0000
Sn  0.5000  0.5000  0.0000
Se  0.7579  0.5157  0.2581
Se  0.2501  0.5002  0.2502
Se  0.2424  0.0002  0.2582
Se  0.7499  0.4998  0.7498
Se  0.7576  0.9998  0.7418
Se  0.2421  0.4843  0.7419
Se  0.2422  0.9998  0.7418
Se  0.7578  0.0002  0.2582
Ag  0.0000  0.0000  0.5000

=====

No. 2
Density functional theory data (PBE) for a relaxed structure of SrAgBiSe3.

## Properties
* density: 6330 kg/m³
* ΔE_f (raw): -5.110 eV per formula unit

a b c (Å): 4.2546 8.6639 9.3634
angles (deg): 102.87 90.00 90.00
Fractional positions:
Ag  0.2500  0.0859  0.5863
Ag  0.7500  0.9141  0.4137
Se  0.2500  0.5699  0.8416
Se  0.2500  0.7508  0.4927
Se  0.7500  0.9016  0.1187
Se  0.7500  0.4301  0.1584
Se  0.7500  0.2492  0.5073
Se  0.2500  0.0984  0.8813
Sr  0.7500  0.8119  0.7539
Sr  0.2500  0.1881  0.2461
Bi  0.2500  0.6733  0.1597
Bi  0.7500  0.3267  0.8403

=====

No. 3
Density functional theory data (PBE) for a relaxed structure of Tb2Ag3BiSe6.

## Properties
* density: 7380 kg/m³
* ΔE_f (raw): -10.368 eV per formula unit

a b c (Å): 4.1918 8.1110 9.1494
angles (deg): 100.01 103.24 90.00
Fractional positions:
Ag  0.5000  0.5000  0.0000
Ag  0.1712  0.8130  0.3424
Ag  0.8288  0.1870  0.6576
Se  0.6672  0.5727  0.3344
Se  0.6679  0.0768  0.3358
Se  0.3328  0.4273  0.6656
Se  0.9992  0.7410  0.9985
Se  0.3321  0.9232  0.6642
Se  0.0008  0.2590  0.0015
Bi  0.5000  0.0000  0.0000
Tb  0.1683  0.3246  0.3367
Tb  0.8317  0.6754  0.6633

=====

No. 4
Density functional theory data (PBE) for a relaxed structure of AgBiTeSe.

## Properties
* energy relative to the lowest polymorph listed for this composition: 0 meV per atom
* density: 6995 kg/m³
* ΔE_f (raw): -0.905 eV per formula unit

a b c (Å): 4.4267 4.4267 14.6426
angles (deg): 90.00 90.00 120.00
Fractional positions:
Te  0.3333  0.6667  0.8993
Te  0.6667  0.3333  0.3993
Ag  0.0000  0.0000  0.4854
Ag  0.0000  0.0000  0.9854
Se  0.0000  0.0000  0.6651
Se  0.0000  0.0000  0.1651
Bi  0.3333  0.6667  0.2625
Bi  0.6667  0.3333  0.7625

=====

No. 5
Density functional theory data (PBE) for a relaxed structure of Ag2BiTeSe4.

## Properties
* DOS(E_F): 5.6 states/eV per cell
* density: 7157 kg/m³
* ΔE_f (raw): -0.942 eV per formula unit

a b c (Å): 8.2191 8.2191 8.2203
angles (deg): 119.43 119.43 88.86
Fractional positions:
Se  0.2519  0.7551  0.9992
Se  0.7481  0.2449  0.0008
Se  0.2216  0.2072  0.9478
Se  0.7072  0.7216  0.4478
Se  0.2551  0.7519  0.4992
Se  0.2928  0.2784  0.5522
Se  0.7784  0.7928  0.0522
Se  0.7449  0.2481  0.5008
Bi  0.0000  0.5000  0.0000
Bi  0.0000  0.5000  0.5000
Ag  0.0000  0.0000  0.5000
Ag  0.5000  0.5000  0.0000
Ag  0.5000  0.0000  0.5000
Ag  0.5000  0.0000  0.0000
Te  0.5000  0.5000  0.5000
Te  0.0000  0.0000  0.0000

=====

No. 6
Density functional theory data (PBE) for a relaxed structure of AgBiTeSe.

## Properties
* energy relative to the lowest polymorph listed for this composition: 99 meV per atom
* DOS(E_F): 3.4 states/eV per cell
* density: 7838 kg/m³
* ΔE_f (raw): -0.508 eV per formula unit

a b c (Å): 4.2235 4.2235 6.2160
angles (deg): 90.00 90.00 90.00
Fractional positions:
Ag  0.0000  0.0000  0.0000
Bi  0.5000  0.5000  0.5000
Te  0.5000  0.5000  0.0000
Se  0.0000  0.0000  0.5000

=====

No. 7
Density functional theory data (PBE) for a relaxed structure of ThAgBiSe.

## Properties
* DOS(E_F): 0.6 states/eV per cell
* density: 10099 kg/m³
* ΔE_f (raw): -3.137 eV per formula unit

a b c (Å): 4.6809 4.6809 9.4232
angles (deg): 90.00 90.00 90.00
Fractional positions:
Th  0.0000  0.5000  0.3038
Th  0.5000  0.0000  0.6962
Bi  0.5000  0.0000  0.1949
Bi  0.0000  0.5000  0.8051
Se  0.5000  0.5000  0.5000
Se  0.0000  0.0000  0.5000
Ag  0.0000  0.0000  0.0000
Ag  0.5000  0.5000  0.0000

=====

No. 8
Density functional theory data (PBE) for a relaxed structure of TlAgBi2Se.

## Properties
* DOS(E_F): 5.7 states/eV per cell
* density: 7623 kg/m³
* ΔE_f (raw): 3.925 eV per formula unit

a b c (Å): 5.8335 5.1797 5.8335
angles (deg): 90.00 90.00 90.00
Fractional positions:
Bi  0.5000  0.0000  0.0000
Bi  0.0000  0.0000  0.5000
Ag  0.0000  0.5000  0.0000
Se  0.5000  0.5000  0.5000
Tl  0.0000  0.0000  0.0000

=====

No. 9
Density functional theory data (PBE) for a relaxed structure of TlAg2Bi3Se6.

## Properties
* DOS(E_F): 0.1 states/eV per cell
* density: 7744 kg/m³
* ΔE_f (raw): -3.663 eV per formula unit

a b c (Å): 4.2538 8.6503 9.3448
angles (deg): 102.76 103.16 90.00
Fractional positions:
Se  0.3286  0.4037  0.6572
Se  0.3252  0.9063  0.6504
Se  0.6714  0.5963  0.3428
Se  0.9881  0.7273  0.9763
Se  0.6748  0.0937  0.3496
Se  0.0119  0.2727  0.0237
Tl  0.5000  0.0000  0.0000
Bi  0.5000  0.5000  0.0000
Bi  0.8335  0.1672  0.6669
Bi  0.1665  0.8328  0.3331
Ag  0.8324  0.6698  0.6648
Ag  0.1676  0.3302  0.3352

=====

No. 10
Density functional theory data (PBE) for a relaxed structure of Tm2Ag3BiSe6.

## Properties
* density: 7611 kg/m³
* ΔE_f (raw): -10.231 eV per formula unit

a b c (Å): 4.1414 8.1231 9.1262
angles (deg): 100.96 103.11 90.00
Fractional positions:
Tm  0.8318  0.6710  0.6636
Tm  0.1682  0.3290  0.3364
Se  0.3313  0.9144  0.6627
Se  0.3311  0.4272  0.6622
Se  0.9976  0.7394  0.9952
Se  0.6687  0.0856  0.3373
Se  0.0024  0.2606  0.0048
Se  0.6689  0.5728  0.3378
Bi  0.5000  0.0000  0.0000
Ag  0.5000  0.5000  0.0000
Ag  0.8317  0.1801  0.6633
Ag  0.1683  0.8199  0.3367

=====

No. 11
Density functional theory data (PBE) for a relaxed structure of UAg2BiSe6.

## Properties
* DOS(E_F): 5.4 states/eV per cell
* density: 6998 kg/m³
* ΔE_f (raw): -4.089 eV per formula unit

a b c (Å): 6.9102 6.9076 7.6523
angles (deg): 63.09 63.11 59.97
Fractional positions:
Se  0.7376  0.1130  0.7544
Se  0.5749  0.2502  0.2459
Se  0.3950  0.7377  0.7546
Se  0.1135  0.3947  0.7542
Se  0.9285  0.5755  0.2459
Se  0.2501  0.9287  0.2462
Ag  0.5094  0.5089  0.4725
Ag  0.9997  0.0001  0.0000
Bi  0.8229  0.8228  0.5314
U  0.3301  0.3300  0.0100

=====

No. 12
Density functional theory data (PBE) for a relaxed structure of VAgBiSe2.

## Properties
* DOS(E_F): 5.7 states/eV per cell
* density: 7181 kg/m³
* ΔE_f (raw): 1.092 eV per formula unit

a b c (Å): 4.7903 5.2980 4.7903
angles (deg): 90.00 90.00 90.00
Site moments in Bohr magnetons follow the coordinates.
Fractional positions:
Ag  0.0000  0.5000  0.0000  0.04
Se  0.5000  0.0000  0.0000  -0.12
Se  0.0000  0.0000  0.5000  -0.08
V  0.0000  0.0000  0.0000  1.76
Bi  0.5000  0.5000  0.5000  0.23

=====

No. 13
Density functional theory data (PBE) for a relaxed structure of Y2Ag3BiSe6.

## Properties
* density: 6616 kg/m³
* ΔE_f (raw): -10.401 eV per formula unit

a b c (Å): 4.1803 8.1153 9.1536
angles (deg): 100.28 103.20 90.00
Fractional positions:
Se  0.9990  0.7407  0.9980
Se  0.6676  0.5741  0.3352
Se  0.0010  0.2593  0.0020
Se  0.6680  0.0792  0.3360
Se  0.3320  0.9208  0.6640
Se  0.3324  0.4259  0.6648
Y  0.1681  0.3266  0.3362
Y  0.8319  0.6734  0.6638
Ag  0.5000  0.5000  0.0000
Ag  0.1702  0.8170  0.3403
Ag  0.8298  0.1830  0.6597
Bi  0.5000  0.0000  0.0000

=====

No. 14
Density functional theory data (PBE) for a relaxed structure of SiAgBi2.

## Properties
* DOS(E_F): 2.9 states/eV per cell
* density: 6974 kg/m³
* ΔE_f (raw): 1.298 eV per formula unit

a b c (Å): 6.5986 6.5986 7.6464
angles (deg): 64.44 64.44 90.00
Fractional positions:
Si  0.2500  0.7500  0.5000
Si  0.5000  0.5000  0.0000
Bi  0.3750  0.3872  0.7500
Bi  0.1372  0.6250  0.2500
Bi  0.8750  0.8628  0.7500
Bi  0.6128  0.1250  0.2500
Ag  0.7500  0.2500  0.5000
Ag  0.0000  0.0000  0.0000

=====

No. 15
Density functional theory data (PBE) for a relaxed structure of Si2Ag2Bi.

## Properties
* energy relative to the lowest polymorph listed for this composition: 133 meV per atom
* DOS(E_F): 3.7 states/eV per cell
* density: 7876 kg/m³
* ΔE_f (raw): 2.079 eV per formula unit

a b c (Å): 8.1607 8.1607 3.0450
angles (deg): 90.00 90.00 90.00
Fractional positions:
Ag  0.3750  0.1250  0.5000
Ag  0.6250  0.8750  0.5000
Ag  0.1250  0.6250  0.5000
Ag  0.8750  0.3750  0.5000
Bi  0.5000  0.5000  0.0000
Bi  0.0000  0.0000  0.0000
Si  0.3294  0.8294  0.0000
Si  0.6706  0.1706  0.0000
Si  0.8294  0.6706  0.0000
Si  0.1706  0.3294  0.0000

=====

No. 16
Density functional theory data (PBE) for a relaxed structure of Si2AgBi2.

## Properties
* energy relative to the lowest polymorph listed for this composition: 0 meV per atom
* DOS(E_F): 2.1 states/eV per cell
* density: 8343 kg/m³
* ΔE_f (raw): 1.393 eV per formula unit

a b c (Å): 3.5056 3.5056 9.7459
angles (deg): 79.64 79.64 90.00
Fractional positions:
Bi  0.6042  0.6042  0.7915
Bi  0.3958  0.3958  0.2085
Si  0.2500  0.7500  0.5000
Si  0.7500  0.2500  0.5000
Ag  0.0000  0.0000  0.0000

=====

No. 17
Density functional theory data (PBE) for a relaxed structure of Si2AgBi2.

## Properties
* energy relative to the lowest polymorph listed for this composition: 25 meV per atom
* DOS(E_F): 3.9 states/eV per cell
* density: 7920 kg/m³
* ΔE_f (raw): 1.517 eV per formula unit

a b c (Å): 6.4632 6.4632 5.8423
angles (deg): 90.00 90.00 90.00
Fractional positions:
Bi  0.8142  0.6858  0.5000
Bi  0.6858  0.1858  0.5000
Bi  0.3142  0.8142  0.5000
Bi  0.1858  0.3142  0.5000
Si  0.8691  0.6309  0.0000
Si  0.1309  0.3691  0.0000
Si  0.6309  0.1309  0.0000
Si  0.3691  0.8691  0.0000
Ag  0.5000  0.5000  0.0000
Ag  0.0000  0.0000  0.0000

=====

No. 18
Density functional theory data (PBE) for a relaxed structure of SiAg2Bi.

## Properties
* energy relative to the lowest polymorph listed for this composition: 61 meV per atom
* DOS(E_F): 1.4 states/eV per cell
* density: 8794 kg/m³
* ΔE_f (raw): 1.497 eV per formula unit

a b c (Å): 4.9450 4.9450 4.9450
angles (deg): 60.00 60.00 60.00
Fractional positions:
Ag  0.2500  0.2500  0.2500
Ag  0.7500  0.7500  0.7500
Bi  0.5000  0.5000  0.5000
Si  0.0000  0.0000  0.0000

=====

No. 19
Density functional theory data (PBE) for a relaxed structure of SiAgBi3.

## Properties
* energy relative to the lowest polymorph listed for this composition: 0 meV per atom
* DOS(E_F): 3.6 states/eV per cell
* density: 7904 kg/m³
* ΔE_f (raw): 3.595 eV per formula unit

a b c (Å): 5.4321 5.4321 5.4321
angles (deg): 90.00 90.00 90.00
Fractional positions:
Bi  0.5000  0.0000  0.0000
Bi  0.0000  0.0000  0.5000
Bi  0.0000  0.5000  0.0000
Ag  0.5000  0.5000  0.5000
Si  0.0000  0.0000  0.0000

=====

No. 20
Density functional theory data (PBE) for a relaxed structure of SiAgBi3.

## Properties
* energy relative to the lowest polymorph listed for this composition: 189 meV per atom
* DOS(E_F): 4.2 states/eV per cell
* density: 7679 kg/m³
* ΔE_f (raw): 4.538 eV per formula unit

a b c (Å): 5.4845 5.4845 5.4845
angles (deg): 90.00 90.00 90.00
Fractional positions:
Si  0.5000  0.5000  0.5000
Bi  0.0000  0.5000  0.0000
Bi  0.0000  0.0000  0.5000
Bi  0.5000  0.0000  0.0000
Ag  0.0000  0.0000  0.0000